{
  "formula": "Li4V3Sn3Sb2O16",
  "functional": "PBE+U",
  "state": "optimized geometry",
  "volume_a3_per_atom": 12.33,
  "magnetic_moment_mub_per_fu": 4.96,
  "energy_ev_per_atom": -6.401,
  "lattice": [[3.083, 5.453, -0.001], [-3.083, 5.453, -0.001], [0.000, 0.113, 10.265]],
  "species": ["Li", "Li", "Li", "Li", "V", "V", "V", "Sn", "Sn", "Sn", "Sb", "Sb", "O", "O", "O", "O", "O", "O", "O", "O", "O", "O", "O", "O", "O", "O", "O", "O"],
  "fractional_positions": [[0.670, 0.670, 0.891], [0.993, 0.993, 0.992], [0.995, 0.995, 0.499], [0.332, 0.332, 0.399], [0.831, 0.831, 0.217], [0.655, 0.175, 0.714], [0.175, 0.655, 0.714], [0.834, 0.336, 0.216], [0.336, 0.834, 0.216], [0.166, 0.166, 0.715], [0.667, 0.667, 0.497], [0.338, 0.338, 0.991], [0.834, 0.310, 0.601], [0.519, 0.519, 0.344], [0.665, 0.665, 0.105], [0.999, 0.999, 0.319], [0.000, 0.000, 0.813], [0.310, 0.834, 0.601], [0.974, 0.515, 0.326], [0.515, 0.974, 0.326], [0.152, 0.152, 0.096], [0.857, 0.857, 0.621], [0.493, 0.033, 0.827], [0.033, 0.493, 0.827], [0.330, 0.330, 0.604], [0.693, 0.152, 0.108], [0.486, 0.486, 0.823], [0.152, 0.693, 0.108]]
}